First-principles (GGA+U) data for a relaxed MoP2O8 crystal, as listed in Alexandria via LeMat-Bulk.

Computed properties:
Its space group is P-3m1, No. 164. The calculation puts the energy relative to the lowest polymorph listed for this composition at 76 meV per atom. For the total magnetization, the calculation gives 0.000 μB per cell.

Lattice parameters (Å, degrees): 6.0140 5.2088 5.2088 120.00 90.00 90.00
Fractional coordinates of all 11 atoms:
Mo 0.5000 0.0000 0.0000
P 0.7934 0.6667 0.3333
P 0.2066 0.3333 0.6667
O 0.9622 0.3333 0.6667
O 0.0378 0.6667 0.3333
O 0.3171 0.1746 0.3492
O 0.6829 0.8254 0.6508
O 0.6829 0.3492 0.1746
O 0.3171 0.6508 0.8254
O 0.3171 0.1746 0.8254
O 0.6829 0.8254 0.1746